Cd5InHg7 | GGA-PBE | optimized geometry

The structure in CIF format:
```
data_Cd5InHg7
_symmetry_space_group_name_H-M 'C 1 m 1'
_symmetry_Int_Tables_number 8
_cell_length_a 14.0128
_cell_length_b 4.3295
_cell_length_c 21.5514
_cell_angle_alpha 90.00
_cell_angle_beta 90.28
_cell_angle_gamma 90.00
loop_
_symmetry_equiv_pos_as_xyz
'x,y,z'
'x,-y,z'
'x+1/2,y+1/2,z'
'x+1/2,-y+1/2,z'
loop_
_atom_site_label
_atom_site_type_symbol
_atom_site_fract_x
_atom_site_fract_y
_atom_site_fract_z
Cd1 Cd 0.0000 0.0000 0.0000
Cd2 Cd 0.0014 0.0000 0.4274
Cd3 Cd 0.1693 0.5000 0.0052
Cd4 Cd 0.2134 0.0000 0.5508
Cd5 Cd 0.2493 0.5000 0.6593
Cd6 Cd 0.3112 0.0000 0.2216
Cd7 Cd 0.4199 0.0000 0.6554
Cd8 Cd 0.4510 0.5000 0.7713
Cd9 Cd 0.4784 0.5000 0.2234
Cd10 Cd 0.4937 0.0000 0.1094
In1 In 0.1624 0.0000 0.8888
In2 In 0.1824 0.5000 0.4271
Hg1 Hg 0.0512 0.5000 0.5390
Hg2 Hg 0.0803 0.0000 0.6586
Hg3 Hg 0.1153 0.5000 0.7709
Hg4 Hg 0.1461 0.5000 0.2241
Hg5 Hg 0.1548 0.0000 0.1120
Hg6 Hg 0.1662 0.0000 0.3264
Hg7 Hg 0.2883 0.0000 0.7687
Hg8 Hg 0.3280 0.5000 0.8879
Hg9 Hg 0.3302 0.5000 0.1154
Hg10 Hg 0.3334 0.0000 0.0011
Hg11 Hg 0.3404 0.0000 0.4376
Hg12 Hg 0.3814 0.5000 0.5475
Hg13 Hg 0.4617 0.0000 0.3243
Hg14 Hg 0.4931 0.0000 0.8898
```

Results
Distance to the lowest polymorph of the same formula, meV per atom: 0
N(E_F), states/eV per cell: 13.00
Energy relative to the elements, eV per atom: 0.02

=====

Li2ScMn | GGA-PBE | optimized geometry

The structure in CIF format:
```
data_Li2ScMn
_symmetry_space_group_name_H-M 'C m m 2'
_symmetry_Int_Tables_number 35
_cell_length_a 4.2722
_cell_length_b 4.2806
_cell_length_c 8.3314
_cell_angle_alpha 90.00
_cell_angle_beta 90.00
_cell_angle_gamma 90.00
loop_
_symmetry_equiv_pos_as_xyz
'x,y,z'
'-x,-y,z'
'-x,y,z'
'x,-y,z'
'x+1/2,y+1/2,z'
'-x+1/2,-y+1/2,z'
'-x+1/2,y+1/2,z'
'x+1/2,-y+1/2,z'
loop_
_atom_site_label
_atom_site_type_symbol
_atom_site_fract_x
_atom_site_fract_y
_atom_site_fract_z
Li1 Li 0.0000 0.0000 0.0000
Li2 Li 0.0000 0.5000 0.2596
Sc1 Sc 0.0000 0.0000 0.5700
Mn1 Mn 0.0000 0.5000 0.7808
```

Results
Distance to the lowest polymorph of the same formula, meV per atom: 0
N(E_F), states/eV per cell: 4.73
Energy relative to the elements, eV per atom: 0.16

=====

Nb14OsPd | GGA-PBE | optimized geometry

The structure in CIF format:
```
data_Nb14OsPd
_symmetry_space_group_name_H-M 'P 4/m m m'
_symmetry_Int_Tables_number 123
_symmetry_space_group_name_Hall '-P 4 2'
_cell_length_a 6.5568
_cell_length_b 6.5568
_cell_length_c 6.5923
_cell_angle_alpha 90.00
_cell_angle_beta 90.00
_cell_angle_gamma 90.00
loop_
_atom_site_label
_atom_site_type_symbol
_atom_site_fract_x
_atom_site_fract_y
_atom_site_fract_z
Nb1 Nb 0.0000 0.0000 0.0000
Nb2 Nb 0.0000 0.5000 0.0000
Nb3 Nb 0.0000 0.5000 0.5000
Nb4 Nb 0.2464 0.2464 0.2520
Nb5 Nb 0.5000 0.5000 0.0000
Os1 Os 0.0000 0.0000 0.5000
Pd1 Pd 0.5000 0.5000 0.5000
```

Results
N(E_F), states/eV per cell: 13.34
Energy relative to the elements, eV per atom: -0.14

=====

V2B2Rh | GGA-PBE | optimized geometry

The structure in CIF format:
```
data_V2B2Rh
_symmetry_space_group_name_H-M 'P 4/m b m'
_symmetry_Int_Tables_number 127
_symmetry_space_group_name_Hall '-P 4 2ab'
_cell_length_a 5.5720
_cell_length_b 5.5720
_cell_length_c 3.3030
_cell_angle_alpha 90.00
_cell_angle_beta 90.00
_cell_angle_gamma 90.00
loop_
_atom_site_label
_atom_site_type_symbol
_atom_site_fract_x
_atom_site_fract_y
_atom_site_fract_z
V1 V 0.1690 0.3310 0.0000
B1 B 0.1151 0.6151 0.5000
Rh1 Rh 0.0000 0.0000 0.5000
```

Results
N(E_F), states/eV per cell: 9.22
Energy relative to the elements, eV per atom: -0.59

=====

Cs3KAu | GGA-PBE | optimized geometry

The structure in CIF format:
```
data_Cs3KAu
_symmetry_space_group_name_H-M 'A m m 2'
_symmetry_Int_Tables_number 38
_cell_length_a 5.0519
_cell_length_b 9.8933
_cell_length_c 24.6138
_cell_angle_alpha 90.00
_cell_angle_beta 90.00
_cell_angle_gamma 90.00
loop_
_symmetry_equiv_pos_as_xyz
'x,y,z'
'-x,-y,z'
'-x,y,z'
'x,-y,z'
'x,y+1/2,z+1/2'
'-x,-y+1/2,z+1/2'
'-x,y+1/2,z+1/2'
'x,-y+1/2,z+1/2'
loop_
_atom_site_label
_atom_site_type_symbol
_atom_site_fract_x
_atom_site_fract_y
_atom_site_fract_z
Cs1 Cs 0.0000 0.0000 0.0000
Cs2 Cs 0.5000 0.2452 0.8326
K1 K 0.5000 0.0000 0.1701
Au1 Au 0.0000 0.0000 0.8568
```

Results
Distance to the lowest polymorph of the same formula, meV per atom: 127
N(E_F), states/eV per cell: 7.08
Energy relative to the elements, eV per atom: -0.01

=====

AcTa2CuO8 | GGA-PBE | optimized geometry

The structure in CIF format:
```
data_AcTa2CuO8
_symmetry_space_group_name_H-M 'C 1 2/m 1'
_symmetry_Int_Tables_number 12
_cell_length_a 7.7735
_cell_length_b 6.6951
_cell_length_c 6.4804
_cell_angle_alpha 90.00
_cell_angle_beta 91.22
_cell_angle_gamma 90.00
loop_
_symmetry_equiv_pos_as_xyz
'x,y,z'
'-x,-y,-z'
'-x,y,-z'
'x,-y,z'
'x+1/2,y+1/2,z'
'-x+1/2,-y+1/2,-z'
'-x+1/2,y+1/2,-z'
'x+1/2,-y+1/2,z'
loop_
_atom_site_label
_atom_site_type_symbol
_atom_site_fract_x
_atom_site_fract_y
_atom_site_fract_z
Ac1 Ac 0.0000 0.0000 0.0000
Ta1 Ta 0.0229 0.5000 0.2700
Cu1 Cu 0.0000 0.0000 0.5000
O1 O 0.0075 0.2061 0.7018
O2 O 0.1623 0.5000 0.0195
O3 O 0.1692 0.5000 0.5032
```

Results
N(E_F), states/eV per cell: 1.75
E_tot, eV/atom: -8.317

=====

LiZr2Ta | GGA-PBE | optimized geometry

The structure in CIF format:
```
data_LiZr2Ta
_symmetry_space_group_name_H-M 'P 4 m m'
_symmetry_Int_Tables_number 99
_cell_length_a 3.4856
_cell_length_b 3.4856
_cell_length_c 6.4549
_cell_angle_alpha 90.00
_cell_angle_beta 90.00
_cell_angle_gamma 90.00
loop_
_symmetry_equiv_pos_as_xyz
'x,y,z'
'-y,x,z'
'-x,-y,z'
'y,-x,z'
'-x,y,z'
'y,x,z'
'x,-y,z'
'-y,-x,z'
loop_
_atom_site_label
_atom_site_type_symbol
_atom_site_fract_x
_atom_site_fract_y
_atom_site_fract_z
Li1 Li 0.0000 0.0000 0.0000
Zr1 Zr 0.0000 0.0000 0.4681
Zr2 Zr 0.5000 0.5000 0.7457
Ta1 Ta 0.5000 0.5000 0.2299
```

Results
Distance to the lowest polymorph of the same formula, meV per atom: 193
N(E_F), states/eV per cell: 4.58
Energy relative to the elements, eV per atom: 0.34

=====

CdNi2Pd9 | GGA-PBE | optimized geometry

The structure in CIF format:
```
data_CdNi2Pd9
_symmetry_space_group_name_H-M 'P 4/m m m'
_symmetry_Int_Tables_number 123
_symmetry_space_group_name_Hall '-P 4 2'
_cell_length_a 3.9268
_cell_length_b 3.9268
_cell_length_c 11.7650
_cell_angle_alpha 90.00
_cell_angle_beta 90.00
_cell_angle_gamma 90.00
loop_
_atom_site_label
_atom_site_type_symbol
_atom_site_fract_x
_atom_site_fract_y
_atom_site_fract_z
Cd1 Cd 0.0000 0.0000 0.0000
Ni1 Ni 0.0000 0.0000 0.3400
Pd1 Pd 0.0000 0.5000 0.1786
Pd2 Pd 0.0000 0.5000 0.5000
Pd3 Pd 0.5000 0.5000 0.0000
Pd4 Pd 0.5000 0.5000 0.3396
```

Results
N(E_F), states/eV per cell: 19.85
Energy relative to the elements, eV per atom: -0.05

=====

SrCa3Ge | GGA-PBE | optimized geometry

The structure in CIF format:
```
data_SrCa3Ge
_symmetry_space_group_name_H-M 'P m -3 m'
_symmetry_Int_Tables_number 221
_symmetry_space_group_name_Hall '-P 4 2 3'
_cell_length_a 6.1198
_cell_length_b 6.1198
_cell_length_c 6.1198
_cell_angle_alpha 90.00
_cell_angle_beta 90.00
_cell_angle_gamma 90.00
loop_
_atom_site_label
_atom_site_type_symbol
_atom_site_fract_x
_atom_site_fract_y
_atom_site_fract_z
Sr1 Sr 0.0000 0.0000 0.0000
Ca1 Ca 0.0000 0.0000 0.5000
Ge1 Ge 0.5000 0.5000 0.5000
```

Results
Distance to the lowest polymorph of the same formula, meV per atom: 1357
N(E_F), states/eV per cell: 3.01
Energy relative to the elements, eV per atom: 1.15

=====

Ba3Sr3Li2 | GGA-PBE | optimized geometry

The structure in CIF format:
```
data_Ba3Sr3Li2
_symmetry_space_group_name_H-M 'I m m m'
_symmetry_Int_Tables_number 71
_symmetry_space_group_name_Hall '-I 2 2'
_cell_length_a 6.1401
_cell_length_b 6.1473
_cell_length_c 21.1701
_cell_angle_alpha 90.00
_cell_angle_beta 90.00
_cell_angle_gamma 90.00
loop_
_atom_site_label
_atom_site_type_symbol
_atom_site_fract_x
_atom_site_fract_y
_atom_site_fract_z
Ba1 Ba 0.0000 0.0000 0.0000
Ba2 Ba 0.0000 0.5000 0.3513
Sr1 Sr 0.0000 0.0000 0.5000
Sr2 Sr 0.0000 0.5000 0.1519
Li1 Li 0.0000 0.0000 0.2493
```

Results
N(E_F), states/eV per cell: 19.55
Energy relative to the elements, eV per atom: 0.02

=====

HoPa2Se4 | GGA-PBE | optimized geometry

The structure in CIF format:
```
data_HoPa2Se4
_symmetry_space_group_name_H-M 'C m c m'
_symmetry_Int_Tables_number 63
_symmetry_space_group_name_Hall '-C 2c 2'
_cell_length_a 3.8444
_cell_length_b 13.1319
_cell_length_c 14.3451
_cell_angle_alpha 90.00
_cell_angle_beta 90.00
_cell_angle_gamma 90.00
loop_
_atom_site_label
_atom_site_type_symbol
_atom_site_fract_x
_atom_site_fract_y
_atom_site_fract_z
Ho1 Ho 0.0000 0.1086 0.2500
Pa1 Pa 0.0000 0.3535 0.0628
Se1 Se 0.0000 0.0000 0.0000
Se2 Se 0.0000 0.2923 0.6319
Se3 Se 0.0000 0.4456 0.2500
```

Results
N(E_F), states/eV per cell: 38.40
E_tot, eV/atom: -6.730

=====

SrCo2As | GGA-PBE | optimized geometry

The structure in CIF format:
```
data_SrCo2As
_symmetry_space_group_name_H-M 'I 41/a m d'
_symmetry_Int_Tables_number 141
_cell_length_a 4.6869
_cell_length_b 4.6869
_cell_length_c 15.8947
_cell_angle_alpha 90.00
_cell_angle_beta 90.00
_cell_angle_gamma 90.00
loop_
_symmetry_equiv_pos_as_xyz
'x,y,z'
'-x,-y,-z'
'-y+1/4,x+3/4,z+1/4'
'y+1/4,-x+3/4,-z+1/4'
'-x+1/2,-y,z+1/2'
'x+1/2,y,-z+1/2'
'y+1/4,-x+1/4,z+3/4'
'-y+1/4,x+1/4,-z+3/4'
'x,-y,-z'
'-x,y,z'
'-y+1/4,-x+1/4,-z+3/4'
'y+1/4,x+1/4,z+3/4'
'-x+1/2,y,-z+1/2'
'x+1/2,-y,z+1/2'
'y+1/4,x+3/4,-z+1/4'
'-y+1/4,-x+3/4,z+1/4'
'x+1/2,y+1/2,z+1/2'
'-x+1/2,-y+1/2,-z+1/2'
'-y+3/4,x+1/4,z+3/4'
'y+3/4,-x+1/4,-z+3/4'
'-x,-y+1/2,z'
'x,y+1/2,-z'
'y+3/4,-x+3/4,z+1/4'
'-y+3/4,x+3/4,-z+1/4'
'x+1/2,-y+1/2,-z+1/2'
'-x+1/2,y+1/2,z+1/2'
'-y+3/4,-x+3/4,-z+1/4'
'y+3/4,x+3/4,z+1/4'
'-x,y+1/2,-z'
'x,-y+1/2,z'
'y+3/4,x+1/4,-z+3/4'
'-y+3/4,-x+1/4,z+3/4'
loop_
_atom_site_label
_atom_site_type_symbol
_atom_site_fract_x
_atom_site_fract_y
_atom_site_fract_z
Sr1 Sr 0.0000 0.2500 0.3750
Co1 Co 0.0000 0.0000 0.0000
As1 As 0.0000 0.2500 0.8750
```

Results
N(E_F), states/eV per cell: 19.52
Energy relative to the elements, eV per atom: -0.13

=====

Q: Which formula does entry 12 have?
A: SrCo2As

=====

Q: Which of these has the lowest N(E_F)?
A: AcTa2CuO8

=====

Q: The lowest N(E_F) belongs to which entry?
A: AcTa2CuO8